## LaHo2MgHg4 (GGA-PBE)

Data for a relaxed LaHo2MgHg4 crystal.

Calculated values
density of states at the Fermi level: 5.206 states/eV/cell
electronic total energy: -2.550 eV per atom
calculated formation energy: -3.5 eV/f.u.

abc: 9.594 9.594 9.594
angles: 30.91 30.91 30.91
Fractional coordinates of all 8 atoms:
La 0.000 0.000 0.000
Ho 0.241 0.241 0.241
Ho 0.759 0.759 0.759
Mg 0.500 0.500 0.500
Hg 0.127 0.127 0.127
Hg 0.385 0.385 0.385
Hg 0.615 0.615 0.615
Hg 0.873 0.873 0.873